Record 1
Below is crystalline Ac2AgS at its relaxed geometry, with properties calculated at the PBE level.

```
4
Lattice="3.7868 0.0000 0.0000 0.0000 3.7868 0.0000 0.0000 0.0000 7.8809" Properties=species:S:1:pos:R:3 pbc="T T T"
Ac 0.0000 0.0000 6.0110
Ac 0.0000 0.0000 1.8700
S 1.8934 1.8934 0.0000
Ag 1.8934 1.8934 3.9405
```

- Polymorph energy (0 for the lowest one): 0.163 eV/atom
- Energy relative to the elements, uncorrected: -856.5 meV per atom

---

Record 2
Below is crystalline Ac2AgS at its relaxed geometry, with properties calculated at the PBE level.

```
4
Lattice="-4.3276 -0.8064 -0.2601 -1.7181 -1.6388 -3.7160 -0.8580 -7.8540 1.2439" Properties=species:S:1:pos:R:3 pbc="T T T"
Ac -5.1538 -7.8699 -1.9960
Ac -1.7498 -2.4293 -0.7362
S 0.0000 0.0000 0.0000
Ag -3.4518 -5.1496 -1.3661
```

- Polymorph energy (0 for the lowest one): 0.000 eV/atom
- Energy relative to the elements, uncorrected: -1019.3 meV per atom

---

Record 3
Below is crystalline Ac3Ag2S7 at its relaxed geometry, with properties calculated at the PBE level.

```
12
Lattice="-3.3226 -2.3565 2.3550 3.0112 -3.7662 0.4797 2.7829 6.6960 10.6264" Properties=species:S:1:pos:R:3 pbc="T T T"
Ac -0.1557 -3.0614 1.4174
Ac 1.3150 -1.4109 5.1437
Ac 1.1566 1.9841 8.3174
Ag 4.9004 1.9268 8.8417
Ag 0.8937 1.0029 2.2644
S 3.5076 3.9365 8.8876
S 4.0233 0.9425 6.6193
S 0.0000 0.0000 0.0000
S 2.2865 -1.0067 2.2185
S -0.8485 -0.2661 3.2370
S 3.3200 0.8393 10.2241
S 1.7708 1.9873 4.4868
```

- Energy relative to the elements, uncorrected: -1083.9 meV per atom

---

Record 4
Below is crystalline Ac3AgS5 at its relaxed geometry, with properties calculated at the PBE level.

```
18
Lattice="-2.6656 -0.8858 -7.5737 -1.4151 -7.8263 1.4134 -4.4365 5.9061 5.1784" Properties=species:S:1:pos:R:3 pbc="T T T"
Ac -1.9633 -1.7889 -4.7386
Ac -2.1174 -6.9232 -1.4217
Ac -3.1800 -5.8713 -5.4785
Ac -0.9008 -2.8408 -0.6818
Ac -3.2384 0.7750 1.0491
Ac -5.2788 -3.5810 -2.0310
Ag -4.5713 0.3321 -2.7377
Ag -3.9460 -3.1381 1.7559
S -4.0105 0.0830 4.2524
S -5.2957 2.1442 -1.2375
S -3.7340 3.8529 2.3207
S -5.5721 -1.6257 0.6942
S -4.5068 -2.8890 -5.2342
S -3.2215 -4.9501 0.2557
S -4.7832 -6.6589 -3.3026
S -2.9451 -1.1803 -1.6760
S -2.0404 -4.3560 -3.0801
S 0.0000 0.0000 0.0000
```

- Energy relative to the elements, uncorrected: -1734.3 meV per atom

---

Record 5
Below is crystalline Ac2Ag4S5 at its relaxed geometry, with properties calculated at the PBE level.

```
11
Lattice="-1.7733 3.1141 2.3208 0.6474 0.1524 4.2173 13.9168 11.1330 -0.3774" Properties=species:S:1:pos:R:3 pbc="T T T"
Ac 8.2530 7.1526 0.6358
Ac 4.5378 7.2468 5.5249
Ag 12.0196 12.5048 4.1865
Ag 2.6036 4.5349 3.7587
Ag 10.1872 9.8645 2.4020
Ag 0.7713 1.8946 1.9742
S 8.8271 10.2612 4.7576
S 0.6165 3.1384 4.1142
S 6.3954 7.1997 3.0804
S 12.1743 11.2610 2.0466
S 3.9637 4.1382 1.4031
```

- Energy relative to the elements, uncorrected: -796.8 meV per atom

---

Record 6
Below is crystalline Ac2ScAg2S6 at its relaxed geometry, with properties calculated at the PBE level.

```
11
Lattice="7.3491 0.0000 0.0000 3.6746 6.3645 0.0000 3.6746 2.1215 6.2469" Properties=species:S:1:pos:R:3 pbc="T T T"
Ac 11.0237 6.3645 3.9397
Ac 3.6746 2.1215 2.3072
Sc 0.0000 0.0000 0.0000
Ag 7.3491 4.2430 4.6846
Ag 7.3491 4.2430 1.5623
S 9.4028 5.4287 1.7143
S 5.2954 5.4287 1.7143
S 7.3491 1.8716 1.7143
S 7.3491 6.6144 4.5327
S 9.4028 3.0573 4.5327
S 5.2954 3.0573 4.5327
```

- Energy relative to the elements, uncorrected: -1113.9 meV per atom

---

Record 7
Below is crystalline AcScAg2S4 at its relaxed geometry, with properties calculated at the PBE level.

```
8
Lattice="-3.3595 3.8434 4.4102 -6.1412 -0.7376 1.1241 -1.0479 -1.8016 5.9311" Properties=species:S:1:pos:R:3 pbc="T T T"
Ac 0.0000 0.0000 0.0000
Sc -5.2743 0.6521 5.7327
Ag -2.8937 -0.1016 3.0436
Ag -7.6549 1.4058 8.4219
S -2.8535 0.7955 5.3576
S -6.3315 -1.0514 4.3177
S -6.3231 2.7955 5.1602
S -5.5892 0.0688 8.0955
```

- Energy relative to the elements, uncorrected: -1206.0 meV per atom

---

Record 8
Below is crystalline Ac2SmAgS5 at its relaxed geometry, with properties calculated at the PBE level.

```
18
Lattice="-1.0758 -3.1162 2.5425 6.7692 3.8903 4.2238 -8.0047 7.5539 5.8715" Properties=species:S:1:pos:R:3 pbc="T T T"
Ac -2.3155 6.2795 10.1252
Ac -4.0725 5.6929 5.2542
Ac -0.8919 2.8942 3.1699
Ac 2.8164 1.6395 6.6095
Sm -0.7512 3.6806 7.6017
Sm 2.3762 0.9329 2.1488
Ag -7.8859 5.9137 7.3199
Ag 2.0703 5.7221 7.8892
S 4.4352 1.6670 3.9197
S -4.9134 5.7568 8.3854
S 0.0198 8.1890 10.0451
S -1.6600 6.3409 7.0693
S 0.5116 4.9127 9.6461
S -2.7548 2.8942 5.7901
S 1.0237 4.0607 5.4101
S -2.7396 0.5246 2.8923
S 0.7906 0.6264 4.5108
S -0.0391 0.7884 0.9498
```

- Energy relative to the elements, uncorrected: -1791.7 meV per atom

---

Record 9
Below is crystalline AcSm2AgS5 at its relaxed geometry, with properties calculated at the PBE level.

```
18
Lattice="7.7086 0.0000 0.0000 0.0000 7.7086 0.0000 -3.8543 -3.8543 6.9633" Properties=species:S:1:pos:R:3 pbc="T T T"
Ac 0.0000 0.0000 3.4817
Ac 3.8543 3.8543 3.4817
Sm 1.2155 2.6388 0.0000
Sm 5.0698 1.2155 0.0000
Sm 2.6388 6.4931 0.0000
Sm 6.4931 5.0698 0.0000
Ag 0.0000 3.8543 3.4817
Ag 3.8543 0.0000 3.4817
S 6.4185 2.5642 1.8672
S 2.5642 -1.2901 5.0961
S -2.5642 1.2901 5.0961
S -1.2901 -2.5642 5.0961
S 1.2901 2.5642 5.0961
S 5.1444 6.4185 1.8672
S 2.5642 1.2901 1.8672
S 1.2901 5.1444 1.8672
S 3.8543 3.8543 0.0000
S 0.0000 0.0000 0.0000
```

- Energy relative to the elements, uncorrected: -1679.0 meV per atom

---

Record 10
Below is crystalline AcAg2SnS4 at its relaxed geometry, with properties calculated at the PBE level.

```
16
Lattice="8.0574 0.1750 -0.2870 0.1694 8.0575 -0.2870 -4.2959 -4.2989 6.0814" Properties=species:S:1:pos:R:3 pbc="T T T"
Ac 0.0847 4.0288 -0.1435
Ac 5.9941 2.0544 2.6103
Ag 4.0288 0.0876 -0.1434
Ag 1.8808 -2.0619 2.8972
Ag -1.9785 5.9081 2.7537
Ag 4.1135 4.1163 -0.2869
Sn 1.9654 1.9668 2.7538
Sn 0.1694 8.0575 -0.2870
S 2.2022 6.0823 -0.2378
S 3.9421 -0.0645 2.7046
S -0.0112 3.9982 2.8029
S 1.7287 -2.1487 5.7453
S 1.8621 2.0645 5.5400
S 3.8331 4.0369 2.7212
S 0.0977 -0.1033 2.7863
S 2.0687 1.8691 -0.0325
```

- Energy relative to the elements, uncorrected: -725.1 meV per atom

---

Record 11
Below is crystalline Ac2AgSnS5 at its relaxed geometry, with properties calculated at the PBE level.

```
18
Lattice="4.3416 0.0000 0.0000 -2.1708 8.7983 0.0000 0.0000 0.0000 11.7036" Properties=species:S:1:pos:R:3 pbc="T T T"
Ac 2.1708 6.6972 9.3806
Ac 0.0000 2.2253 7.9669
Ac 0.0000 2.1011 3.5288
Ac 2.1708 6.5730 2.1151
Ag 2.1708 4.7106 6.3382
Ag 0.0000 4.0877 0.4864
Sn 2.1708 1.4682 11.4126
Sn 0.0000 7.3301 5.5608
S 0.0000 6.4961 11.6148
S 2.1708 3.5013 9.7851
S 2.1708 0.1825 9.1111
S 0.0000 5.3687 7.6689
S 2.1708 8.2158 6.5868
S 2.1708 2.3022 5.7630
S 0.0000 5.2970 3.9333
S 0.0000 8.6158 3.2593
S 2.1708 3.4297 1.8171
S 0.0000 0.5825 0.7350
```

- Energy relative to the elements, uncorrected: -1288.3 meV per atom

---

Record 12
Below is crystalline Sr2AcAgS4 at its relaxed geometry, with properties calculated at the PBE level.

```
8
Lattice="4.3005 0.0000 0.0000 0.0000 7.1974 0.0585 0.0000 -2.5787 6.9538" Properties=species:S:1:pos:R:3 pbc="T T T"
Sr 2.1503 -1.2893 3.4769
Sr 0.0000 2.3094 3.5062
Ac 2.1503 3.5987 0.0293
Ag 0.0000 0.0000 0.0000
S 2.1503 1.1530 1.7165
S 2.1503 3.4657 5.2958
S 0.0000 -0.1092 5.2301
S 0.0000 4.7279 1.7823
```

- Energy relative to the elements, uncorrected: -1683.0 meV per atom

---

- The highest energy relative to the elements, uncorrected belongs to which entry?
  AcAg2SnS4

---

What did the eleventh record say?
Below is crystalline Ac2AgSnS5 at its relaxed geometry, with properties calculated at the PBE level.

```
18
Lattice="4.3416 0.0000 0.0000 -2.1708 8.7983 0.0000 0.0000 0.0000 11.7036" Properties=species:S:1:pos:R:3 pbc="T T T"
Ac 2.1708 6.6972 9.3806
Ac 0.0000 2.2253 7.9669
Ac 0.0000 2.1011 3.5288
Ac 2.1708 6.5730 2.1151
Ag 2.1708 4.7106 6.3382
Ag 0.0000 4.0877 0.4864
Sn 2.1708 1.4682 11.4126
Sn 0.0000 7.3301 5.5608
S 0.0000 6.4961 11.6148
S 2.1708 3.5013 9.7851
S 2.1708 0.1825 9.1111
S 0.0000 5.3687 7.6689
S 2.1708 8.2158 6.5868
S 2.1708 2.3022 5.7630
S 0.0000 5.2970 3.9333
S 0.0000 8.6158 3.2593
S 2.1708 3.4297 1.8171
S 0.0000 0.5825 0.7350
```

- Energy relative to the elements, uncorrected: -1288.3 meV per atom

---

- Number 10 is which compound?
  AcAg2SnS4